Below is a relaxed structure of Li2CuSn, with properties calculated at the GGA-PBE level.

Cell: 3.8884 3.8884 4.3810 Å, 90.00 90.00 90.00°
Atoms (fractional coordinates):
Li (0.0000, 0.5000, 0.0000)
Li (0.5000, 0.0000, 0.0000)
Cu (0.0000, 0.0000, 0.5000)
Sn (0.5000, 0.5000, 0.5000)

* ρ: 4917 kg/m3
* calculated total energy: -0.2341 Ry/atom
* energy of formation from the pure elements: -203 meV/atom
* magnetization: 0.00 μB per cell
* space group: No. 123